#1
This record from Alexandria describes an optimized crystal structure of BaSr2Ir. The functional is PBEsol.

**Magnetization**: 0.000 μB per atom
**Fermi-level density of states**: 0.444 states/eV per atom

abc: 6.1749 12.8881 4.3380
angles: 90.00 90.00 90.00
With the nearest neighbours (Å) after each atom.
Space group Cmmm (No. 65)
Asymmetric unit:
Ba 0.0000 0.0000 0.0000 (multiplicity 2)  2 Ir 3.09
Sr 0.0000 0.3516 0.5000 (multiplicity 4)  2 Ir 2.89
Ir 0.0000 0.5000 0.0000 (multiplicity 2)  4 Sr 2.89, 2 Ba 3.09

***

#2
This record from Alexandria describes an optimized crystal structure of BaSr2Ir. The functional is PBEsol.

**Magnetization**: 0.000 μB per atom
**Fermi-level density of states**: 0.647 states/eV per atom

abc: 4.3328 5.9611 13.5720
angles: 90.00 90.00 90.00
With the nearest neighbours (Å) after each atom.
Space group Amm2 (No. 38)
Asymmetric unit:
Ba 0.0000 0.0000 0.0000 (multiplicity 2)  2 Ir 2.95
Sr 0.0000 0.0000 0.2903 (multiplicity 2)  2 Ir 2.90
Sr 0.5000 0.0000 0.6541 (multiplicity 2)  2 Ir 2.98
Ir 0.5000 0.0000 0.1480 (multiplicity 2)  4 Sr 2.90-2.98, 2 Ba 2.95

***

Tell me which of them is the least stable. Sure, it is #1.